VASP calculation (GGA+U) on RbCoNO after structural relaxation.

abc: 4.2304 4.2304 7.3795
angles: 90.00 90.00 90.00
Closest atoms and distances in Å follow each position.
Space group P4/nmm (No. 129, origin choice 2)
Inequivalent atoms, fractional coordinates:
1 Rb 0.2500 0.7500 0.0000 [2 per cell]  4 N 2.66
2 Co 0.2500 0.2500 0.4405 [2 per cell]  1 N 1.64
3 N 0.2500 0.2500 0.2184 [2 per cell]  1 Co 1.64
4 O 0.2500 0.7500 0.5000 [2 per cell]  4 Co 2.16

Results
total moment	5.998	μB/cell
crystal system	tetragonal
raw total energy	-0.16575	hartree per atom